(1)
Entry from Alexandria: a crystal of MgAl2Pb relaxed with PBEsol (SCAN).

Summary:
spin magnetization	0.00	Bohr magnetons per cell
space group	R-3m (166)
crystal system	trigonal
final energy	-23.858	eV per atom

Cell: 10.1799 10.1799 10.1799 Å, 18.01 18.01 18.01°
Fractional positions:
Mg1 0.0000 0.0000 0.0000
Al1 0.2554 0.2554 0.2554
Al2 0.7446 0.7446 0.7446
Pb1 0.5000 0.5000 0.5000

=====

(2)
Entry from Alexandria: a crystal of TlTeI2O relaxed with PBEsol (SCAN).

Summary:
spin magnetization	0.32	Bohr magnetons per cell
space group	P4/mmm (123)
crystal system	tetragonal
energy relative to the elements, uncorrected	1.090	eV per formula unit
relative energy among the computed polymorphs	629	meV/atom

Cell: 6.0424 6.0424 4.0051 Å, 90.00 90.00 90.00°
Fractional positions:
Tl1 0.0000 0.0000 0.0000
Te1 0.5000 0.5000 0.5000
I1 0.0000 0.5000 0.0000
I2 0.5000 0.0000 0.0000
O1 0.0000 0.0000 0.5000

=====

(3)
Entry from Alexandria: a crystal of ReOsCl2 relaxed with PBEsol (SCAN).

Summary:
spin magnetization	0.00	Bohr magnetons per cell
space group	Imm2 (44)
crystal system	orthorhombic
energy relative to the elements, uncorrected	1.671	eV per formula unit
relative energy among the computed polymorphs	0	meV/atom

Cell: 8.6730 8.6730 8.6730 Å, 160.45 158.14 29.49°
Fractional positions:
Re1 0.0000 0.0000 0.0000
Os1 0.5946 0.0946 0.5000
Cl1 0.1976 0.6976 0.5000
Cl2 0.4010 0.4010 0.0000

=====

Number 1: theoretical density 5.38 g/cm³. Number 2: theoretical density 6.83 g/cm³. Number 3: theoretical density 9.14 g/cm³.